1.
The following is a DFT calculation (PBE) of a geometry-optimized VSbCl3 structure.

Cell and atoms, written as POSCAR:
```
VSbCl3
1.0
5.408 0.000 0.000
0.000 5.408 0.000
0.000 0.000 5.408
V Sb Cl
1 1 3
Cartesian
0.000 0.000 0.000 V
2.704 2.704 2.704 Sb
0.000 2.704 2.704 Cl
2.704 0.000 2.704 Cl
2.704 2.704 0.000 Cl
```

- DOS(E_F): 12.89 states/eV per cell
- Volume: 31.64 Å³/atom
- Size of the total moment: 4.26 μB per cell
- E_form (uncorrected): 0.23 eV per atom
- Relative energy among the computed polymorphs: 570 meV/atom

2.
The following is a DFT calculation (PBE) of a geometry-optimized HoTiCuNi structure.

Cell and atoms, written as POSCAR:
```
HoTiCuNi
1.0
0.000 3.235 3.235
3.235 0.000 3.235
3.235 3.235 0.000
Ho Ti Cu Ni
1 1 1 1
Cartesian
0.000 0.000 0.000 Ho
3.235 3.235 3.235 Ti
4.852 4.852 4.852 Cu
1.617 1.617 1.617 Ni
```

- DOS(E_F): 5.19 states/eV per cell
- Volume: 16.92 Å³/atom
- Size of the total moment: 0.60 μB per cell
- DFT formation energy: -0.6 eV per formula unit

3.
The following is a DFT calculation (PBE) of a geometry-optimized TaMnCo3 structure.

Cell and atoms, written as POSCAR:
```
TaMnCo3
1.0
4.118 0.000 0.000
0.000 4.118 0.000
0.000 0.000 4.118
Ta Mn Co
1 1 3
Cartesian
0.000 0.000 0.000 Ta
2.059 2.059 2.059 Mn
0.000 2.059 2.059 Co
2.059 0.000 2.059 Co
2.059 2.059 0.000 Co
```

- DOS(E_F): 9.51 states/eV per cell
- Volume: 13.97 Å³/atom
- Size of the total moment: 0.00 μB per cell
- Relative energy among the computed polymorphs: 638 meV/atom
- DFT formation energy: 5.1 eV per formula unit

4.
The following is a DFT calculation (PBE) of a geometry-optimized TaCuRu2 structure.

Cell and atoms, written as POSCAR:
```
TaCuRu2
1.0
2.728 0.000 0.000
0.000 4.347 0.000
-0.379 0.000 4.952
Ta Cu Ru
1 1 2
Cartesian
0.000 0.000 0.000 Ta
1.175 0.000 2.476 Cu
0.440 2.174 3.624 Ru
1.909 2.174 1.328 Ru
```

- DOS(E_F): 3.54 states/eV per cell
- Volume: 14.68 Å³/atom
- Size of the total moment: 0.00 μB per cell
- DFT formation energy: 0.2 eV per formula unit